1.
Material: PmNbVN3
Method: DFT, PBE
State: optimized geometry

a = 3.2546 Å, b = 6.9110 Å, c = 7.4457 Å
α = 105.09°, β = 90.00°, γ = 90.00°
With the nearest neighbours (Å) after each atom.
Fractional coordinates of all 12 atoms:
Pm  0.7500  0.8067  0.7979  5 N 2.42-2.66
Pm  0.2500  0.1933  0.2021  5 N 2.42-2.66
Nb  0.2500  0.6378  0.1318  5 N 2.16-2.31
Nb  0.7500  0.3622  0.8682  5 N 2.16-2.31
V  0.2500  0.1100  0.6042  4 N 1.90-2.05
V  0.7500  0.8900  0.3958  4 N 1.90-2.05
N  0.2500  0.8064  0.4928  3 V 1.93-2.05
N  0.7500  0.8774  0.1379  1 V 1.90
N  0.7500  0.4406  0.1685  3 Nb 2.16-2.18
N  0.7500  0.1936  0.5072  3 V 1.93-2.05
N  0.2500  0.5594  0.8315  3 Nb 2.16-2.18
N  0.2500  0.1226  0.8621  1 V 1.90

Calculated values
symmetry	P2_1/m
Fermi-level density of states	5.639	states/eV/cell
electronic total energy	-9.19	eV/atom
formation energy (no corrections)	-1.03	eV per atom

---

2.
Material: Pm2NbWN6
Method: DFT, PBE
State: optimized geometry

a = 5.6229 Å, b = 5.7433 Å, c = 8.0011 Å
α = 90.00°, β = 90.13°, γ = 90.00°
With the nearest neighbours (Å) after each atom.
Fractional coordinates of all 20 atoms:
Pm  0.0092  0.9513  0.2502  6 N 2.43-2.68
Pm  0.5092  0.5487  0.7502  6 N 2.43-2.68
Pm  0.9908  0.0487  0.7498  6 N 2.43-2.68
Pm  0.4908  0.4513  0.2498  6 N 2.43-2.68
Nb  0.5000  0.0000  0.0000  6 N 2.09-2.11
Nb  0.0000  0.5000  0.5000  6 N 2.09-2.11
W  0.5000  0.0000  0.5000  6 N 2.02-2.04
W  0.0000  0.5000  0.0000  6 N 2.02-2.04
N  0.2858  0.7051  0.0432  1 W 2.02, 1 Nb 2.11
N  0.7859  0.7949  0.5432  1 W 2.02, 1 Nb 2.11
N  0.7141  0.2949  0.9568  1 W 2.02, 1 Nb 2.11
N  0.2142  0.2051  0.4568  1 W 2.02, 1 Nb 2.11
N  0.2949  0.7137  0.4555  1 W 2.04, 1 Nb 2.09
N  0.7949  0.7863  0.9555  1 W 2.04, 1 Nb 2.09
N  0.7051  0.2863  0.5445  1 W 2.04, 1 Nb 2.09
N  0.2051  0.2137  0.0445  1 W 2.04, 1 Nb 2.09
N  0.9171  0.5193  0.2454  1 W 2.02, 1 Nb 2.09
N  0.4171  0.9807  0.7454  1 W 2.02, 1 Nb 2.09
N  0.0829  0.4807  0.7546  1 W 2.02, 1 Nb 2.09
N  0.5829  0.0193  0.2546  1 W 2.02, 1 Nb 2.09

Calculated values
symmetry	P2_1/c
Fermi-level density of states	14.290	states/eV/cell
electronic total energy	-9.15	eV/atom
formation energy (no corrections)	-0.90	eV per atom

---

3.
Material: PmY2NbN4
Method: DFT, PBE
State: optimized geometry

a = 3.4124 Å, b = 6.2072 Å, c = 12.1545 Å
α = 90.00°, β = 90.00°, γ = 105.95°
With the nearest neighbours (Å) after each atom.
Fractional coordinates of all 16 atoms:
Pm  0.1030  0.2060  0.7500  2 N 2.49
Pm  0.8970  0.7940  0.2500  2 N 2.49
Y  0.3702  0.7404  0.5347  5 N 2.32-2.54
Y  0.6298  0.2596  0.0347  5 N 2.32-2.54
Y  0.6298  0.2596  0.4653  5 N 2.32-2.54
Y  0.3702  0.7404  0.9653  5 N 2.32-2.54
Nb  0.8419  0.6839  0.7500  4 N 1.97-2.14
Nb  0.1581  0.3161  0.2500  4 N 1.97-2.14
N  0.2599  0.5198  0.1227  1 Nb 1.97
N  0.7401  0.4802  0.6227  1 Nb 1.97
N  0.7401  0.4802  0.8773  1 Nb 1.97
N  0.2599  0.5198  0.3773  1 Nb 1.97
N  0.0000  0.0000  0.5000  4 Y 2.34
N  0.0000  0.0000  0.0000  4 Y 2.34
N  0.4508  0.9015  0.7500  2 Nb 2.14
N  0.5492  0.0985  0.2500  2 Nb 2.14

Calculated values
symmetry	Cmcm
Fermi-level density of states	4.430	states/eV/cell
electronic total energy	-8.88	eV/atom
formation energy (no corrections)	-1.25	eV per atom

---

4.
Material: Pm3Zr2NbN6
Method: DFT, PBE
State: optimized geometry

a = 5.8180 Å, b = 5.8180 Å, c = 5.9742 Å
α = 99.40°, β = 99.40°, γ = 119.95°
With the nearest neighbours (Å) after each atom.
Fractional coordinates of all 12 atoms:
Pm  0.1663  0.8337  0.5000  6 N 2.50-2.54
Pm  0.8337  0.1663  0.5000  6 N 2.50-2.54
Pm  0.5000  0.5000  0.5000  6 N 2.51-2.52
Zr  0.3335  0.6665  0.0000  6 N 2.30
Zr  0.6665  0.3335  0.0000  6 N 2.30
Nb  0.0000  0.0000  0.0000  6 N 2.27-2.29
N  0.9276  0.5980  0.7843  1 Nb 2.27, 2 Zr 2.30, 3 Pm 2.51-2.54
N  0.7414  0.7414  0.2189  1 Nb 2.29, 2 Zr 2.30, 3 Pm 2.50-2.52
N  0.0724  0.4020  0.2157  1 Nb 2.27, 2 Zr 2.30, 3 Pm 2.51-2.54
N  0.5980  0.9276  0.7843  1 Nb 2.27, 2 Zr 2.30, 3 Pm 2.51-2.54
N  0.2586  0.2586  0.7811  1 Nb 2.29, 2 Zr 2.30, 3 Pm 2.50-2.52
N  0.4020  0.0724  0.2157  1 Nb 2.27, 2 Zr 2.30, 3 Pm 2.51-2.54

Calculated values
symmetry	C2/m
Fermi-level density of states	4.562	states/eV/cell
electronic total energy	-9.07	eV/atom
formation energy (no corrections)	-1.45	eV per atom